[1]
Computed, not measured: a geometry-optimized K3Tl8Pt3 structure at the PBE-GGA level of DFT.

```
K3Tl8Pt3
1.0
8.942 -2.628 0.000
8.942 2.628 0.000
-4.911 0.000 8.392
K Tl Pt
3 8 3
direct
0.000 0.000 0.000
0.284 0.284 0.284
0.716 0.716 0.716
0.131 0.131 0.823
0.154 0.154 0.451
0.340 0.340 0.960
0.492 0.492 0.663
0.508 0.508 0.337
0.660 0.660 0.040
0.846 0.846 0.549
0.869 0.869 0.177
0.000 0.000 0.500
0.339 0.339 0.674
0.661 0.661 0.326
```

Properties
For the spin magnetization, the calculation gives 0.0 μB/f.u. As for the space group: C2/m (12). For the final energy, the calculation gives -42.15 eV/cell.

[2]
Computed, not measured: a geometry-optimized LuMgGaPb structure at the PBE-GGA level of DFT.

```
LuMgGaPb
1.0
7.272 0.000 0.000
0.000 7.272 0.000
0.000 0.000 7.272
Lu Mg Ga Pb
4 4 4 4
direct
0.000 0.000 0.000
0.000 0.500 0.500
0.500 0.000 0.500
0.500 0.500 0.000
0.000 0.000 0.500
0.000 0.500 0.000
0.500 0.000 0.000
0.500 0.500 0.500
0.250 0.250 0.250
0.250 0.750 0.750
0.750 0.250 0.750
0.750 0.750 0.250
0.250 0.250 0.750
0.250 0.750 0.250
0.750 0.250 0.250
0.750 0.750 0.750
```

Properties
For the spin magnetization, the calculation gives 0.0 μB/f.u. As for the space group: F-43m (216). For the final energy, the calculation gives -54.33 eV/cell.

[3]
Computed, not measured: a geometry-optimized Nb2V4Co structure at the PBE-GGA level of DFT.

```
Nb2V4Co
1.0
4.279 0.000 0.000
0.000 4.279 0.000
0.000 0.000 12.832
Nb V Co
4 8 2
direct
0.000 0.000 0.129
0.000 0.000 0.871
0.500 0.500 0.371
0.500 0.500 0.629
0.000 0.000 0.322
0.000 0.000 0.678
0.000 0.500 0.000
0.000 0.500 0.500
0.500 0.000 0.000
0.500 0.000 0.500
0.500 0.500 0.178
0.500 0.500 0.822
0.000 0.000 0.500
0.500 0.500 0.000
```

Properties
For the spin magnetization, the calculation gives 0.0 μB/f.u. As for the space group: I4/mmm (139). For the final energy, the calculation gives -115.63 eV/cell.

[4]
Computed, not measured: a geometry-optimized Ac3Sn4Rh2 structure at the PBE-GGA level of DFT.

```
Ac3Sn4Rh2
1.0
6.041 -2.385 0.000
6.041 2.385 0.000
-2.313 0.000 8.836
Ac Sn Rh
3 4 2
direct
0.000 0.000 0.000
0.379 0.379 0.311
0.621 0.621 0.689
0.101 0.101 0.395
0.289 0.289 0.915
0.711 0.711 0.085
0.899 0.899 0.605
0.299 0.299 0.617
0.701 0.701 0.383
```

Properties
For the relative energy among the computed polymorphs, the calculation gives 0.0000 eV per atom. For the spin magnetization, the calculation gives 0.0 μB/f.u. As for the space group: C2/m (12). For the final energy, the calculation gives -49.55 eV/cell.

[5]
Computed, not measured: a geometry-optimized AcInHgPt3 structure at the PBE-GGA level of DFT.

```
AcInHgPt3
1.0
3.004 -6.278 0.000
3.004 6.278 0.000
0.000 0.000 7.686
Ac In Hg Pt
2 2 2 6
direct
0.163 0.837 0.750
0.837 0.163 0.250
0.132 0.868 0.250
0.868 0.132 0.750
0.419 0.581 0.750
0.581 0.419 0.250
0.228 0.228 0.000
0.228 0.228 0.500
0.345 0.655 0.250
0.655 0.345 0.750
0.772 0.772 0.000
0.772 0.772 0.500
```

Properties
For the spin magnetization, the calculation gives 0.0 μB/f.u. As for the space group: Cmcm (63). For the final energy, the calculation gives -55.77 eV/cell.

[6]
Computed, not measured: a geometry-optimized SrNdTlCl6 structure at the PBE-GGA level of DFT.

```
SrNdTlCl6
1.0
7.499 0.000 0.000
-3.749 6.494 0.000
0.000 0.000 13.450
Sr Nd Tl Cl
2 2 2 12
direct
0.333 0.667 0.250
0.667 0.333 0.750
0.333 0.667 0.750
0.667 0.333 0.250
0.000 0.000 0.000
0.000 0.000 0.500
0.016 0.375 0.636
0.016 0.641 0.864
0.359 0.375 0.864
0.359 0.984 0.636
0.375 0.016 0.136
0.375 0.359 0.364
0.625 0.641 0.636
0.625 0.984 0.864
0.641 0.016 0.364
0.641 0.625 0.136
0.984 0.359 0.136
0.984 0.625 0.364
```

Properties
For the spin magnetization, the calculation gives 0.0 μB/f.u. As for the space group: P-31c (163). For the formation energy from raw total energies, the calculation gives -2.07 eV/atom. For the final energy, the calculation gives -77.09 eV/cell.